Here is a relaxed structure of NaInBi from Alexandria via LeMat-Bulk. Energies are from PBE-GGA.

a b c (Å): 6.554 6.554 6.326
angles (deg): 85.78 129.28 117.39
Positions (direct):
Bi  0.500  0.500  0.500
Na  0.253  0.592  0.845
In  0.246  0.927  0.174
Na  0.747  0.408  0.155
In  0.754  0.073  0.826
Bi  0.000  0.000  0.500

Values from the calculation:
The value obtained for the energy relative to the elements is -122 meV per atom. As for the distance to the lowest polymorph of the same formula: 5.0 kJ per mole of atoms. The total magnetization is 0.0 Bohr magnetons per cell. The density comes out at 6.5 g/cm³.

Here is a relaxed structure of Na2In8Bi from Alexandria via LeMat-Bulk. Energies are from PBE-GGA.

a b c (Å): 6.153 6.262 10.258
angles (deg): 114.32 114.10 69.20
Positions (direct):
Na  0.327  0.327  0.654
In  0.236  0.579  0.000
In  0.228  0.313  0.250
Bi  0.500  0.000  0.000
Na  0.673  0.673  0.346
In  0.022  0.936  0.250
In  0.764  0.421  0.000
In  0.737  0.237  0.474
In  0.263  0.763  0.526
In  0.978  0.064  0.750
In  0.772  0.687  0.750

Values from the calculation:
The value obtained for the energy relative to the elements is -13 meV per atom. The total magnetization is 0.0 Bohr magnetons per cell. The density comes out at 6.1 g/cm³.

Here is a relaxed structure of Na3InBi4 from Alexandria via LeMat-Bulk. Energies are from PBE-GGA.

a b c (Å): 3.403 6.957 11.142
angles (deg): 108.19 98.78 90.00
Positions (direct):
Na  0.767  0.767  0.534
Bi  0.375  0.602  0.751
Bi  0.375  0.149  0.751
In  0.500  0.000  0.000
Na  0.000  0.500  0.000
Bi  0.625  0.851  0.249
Na  0.233  0.233  0.466
Bi  0.625  0.398  0.249

Values from the calculation:
The value obtained for the energy relative to the elements is -195 meV per atom. As for the distance to the lowest polymorph of the same formula: 1.4 kJ per mole of atoms. The total magnetization is 0.0 Bohr magnetons per cell. The density comes out at 6.8 g/cm³.

Here is a relaxed structure of NaInBi from Alexandria via LeMat-Bulk. Energies are from PBE-GGA.

a b c (Å): 3.484 5.407 5.407
angles (deg): 120.00 90.00 90.00
Positions (direct):
Bi  0.060  0.000  0.000
Na  0.654  0.667  0.333
In  0.286  0.333  0.667

Values from the calculation:
The value obtained for the energy relative to the elements is -174 meV per atom. As for the distance to the lowest polymorph of the same formula: 0.0 kJ per mole of atoms. The total magnetization is 0.0 Bohr magnetons per cell. The density comes out at 6.5 g/cm³.

Here is a relaxed structure of Na2InBi8 from Alexandria via LeMat-Bulk. Energies are from PBE-GGA.

a b c (Å): 4.527 9.398 9.464
angles (deg): 108.46 103.84 90.00
Positions (direct):
Bi  0.349  0.140  0.697
Bi  0.378  0.630  0.755
Na  0.800  0.358  0.599
In  0.500  0.000  0.000
Bi  0.000  0.667  0.999
Bi  0.622  0.370  0.245
Bi  0.839  0.901  0.677
Bi  0.000  0.333  0.001
Bi  0.651  0.860  0.303
Bi  0.161  0.099  0.323
Na  0.200  0.642  0.401

Values from the calculation:
The value obtained for the energy relative to the elements is -38 meV per atom. The total magnetization is 0.0 Bohr magnetons per cell. The density comes out at 8.2 g/cm³.

Here is a relaxed structure of NaIn4Bi2 from Alexandria via LeMat-Bulk. Energies are from PBE-GGA.

a b c (Å): 5.292 9.218 9.218
angles (deg): 90.00 90.00 90.00
Positions (direct):
Bi  0.000  0.797  0.203
Bi  0.500  0.297  0.297
In  0.000  0.637  0.896
In  0.000  0.104  0.363
In  0.500  0.863  0.396
In  0.500  0.604  0.137
In  0.000  0.363  0.104
In  0.500  0.396  0.863
Bi  0.000  0.203  0.797
In  0.500  0.137  0.604
Na  0.000  0.500  0.500
In  0.000  0.896  0.637
Bi  0.500  0.703  0.703
Na  0.500  0.000  0.000

Values from the calculation:
The value obtained for the energy relative to the elements is -28 meV per atom. As for the distance to the lowest polymorph of the same formula: 0.5 kJ per mole of atoms. The total magnetization is 0.0 Bohr magnetons per cell. The density comes out at 6.6 g/cm³.

- Which formula does entry 6 have?
  NaIn4Bi2